A plane-wave DFT calculation with PBE was carried out for Ba2LiCd2 after structural relaxation.

Cell lengths 6.504, 6.504, 6.504 Å; angles 116.80, 116.80, 95.63 degrees
Fractional positions:
Ba 0.250 0.750 0.500
Ba 0.750 0.250 0.500
Li 0.000 0.000 0.000
Cd 0.341 0.341 0.000
Cd 0.659 0.659 0.000

Results
- spin magnetization (μB/atom) = 0.000
- E above lowest polymorph (meV/atom) = 151.3
- crystal system = tetragonal
- formation energy from the elements (eV/atom) = -0.0871